Entry from Alexandria via LeMat-Bulk: an optimized crystal structure of K2CdFeO4 (PBE+U).

Unit cell a=5.6956 b=5.6956 c=5.6956 alpha=97.28 beta=115.89 gamma=115.89
Closest atoms and distances in Å follow each position.
Atoms (fractional coordinates):
1 Cd 0.5000 0.2500 0.7500  4 O 2.21
2 Fe 0.0000 0.5000 0.5000  4 O 1.83
3 K 0.0000 0.0000 0.0000  4 O 2.79
4 K 0.5000 0.7500 0.2500  4 O 2.70
5 O 0.0664 0.2367 0.6164  1 Fe 1.83
6 O 0.9336 0.5500 0.1703  1 Fe 1.83
7 O 0.6203 0.3836 0.4500  1 Fe 1.83
8 O 0.3797 0.8297 0.7633  1 Fe 1.83

raw total energy: -38.7 eV for the cell shown
space group: No. 82
total magnetic moment: 0.499 μB per atom